(1)
LaTbPm2Er5: optimized geometry, GGA-PBE. Values from VASP.

Properties
Total moment: 0.00 μB/f.u.
DOS(E_F): 1.107 states/eV per atom
E_tot: -4.39 eV per atom
DFT formation energy: 0.258 eV/atom
Density: 8.0 g cm⁻³

The structure in Quantum ESPRESSO input format:
```
&SYSTEM
  ibrav = 0, nat = 18, ntyp = 4
/
ATOMIC_SPECIES
Tb 158.93 Tb.upf
La 138.91 La.upf
Pm 145.00 Pm.upf
Er 167.26 Er.upf
ATOMIC_POSITIONS crystal
Tb 0.250 0.750 0.500
Tb 0.750 0.250 0.500
La 0.250 0.250 0.500
La 0.750 0.750 0.500
Pm 0.116 0.384 0.000
Pm 0.384 0.884 0.000
Pm 0.884 0.616 0.000
Pm 0.616 0.116 0.000
Er 0.344 0.844 0.271
Er 0.844 0.927 0.271
Er 0.573 0.656 0.729
Er 0.656 0.156 0.729
Er 0.500 0.500 0.000
Er 0.000 0.000 0.000
Er 0.156 0.073 0.729
Er 0.927 0.427 0.271
Er 0.427 0.344 0.271
Er 0.073 0.573 0.729
CELL_PARAMETERS angstrom
-7.082 -2.378 -4.534
0.118 -7.812 3.915
-1.029 7.838 5.918
```

=====

(2)
La3TbPm6Er2: optimized geometry, GGA-PBE. Values from VASP.

Properties
Total moment: 0.00 μB/f.u.
DOS(E_F): 1.606 states/eV per atom
E_tot: -4.73 eV per atom
DFT formation energy: 0.021 eV/atom
Density: 7.2 g cm⁻³

The structure in Quantum ESPRESSO input format:
```
&SYSTEM
  ibrav = 0, nat = 12, ntyp = 4
/
ATOMIC_SPECIES
Er 167.26 Er.upf
La 138.91 La.upf
Pm 145.00 Pm.upf
Tb 158.93 Tb.upf
ATOMIC_POSITIONS crystal
Er 0.333 0.667 0.000
Er 0.667 0.333 0.000
La 0.833 0.167 0.500
La 0.167 0.833 0.500
La 0.500 0.500 0.500
Pm 0.081 0.415 0.243
Pm 0.253 0.253 0.757
Pm 0.415 0.081 0.243
Pm 0.919 0.585 0.757
Pm 0.585 0.919 0.757
Pm 0.747 0.747 0.243
Tb 0.000 0.000 0.000
CELL_PARAMETERS angstrom
6.319 -0.003 0.007
-3.161 5.472 0.007
-1.071 -1.854 11.889
```

=====

(3)
LaTb3PmEr: optimized geometry, GGA-PBE. Values from VASP.

Properties
Total moment: 0.00 μB/f.u.
DOS(E_F): 1.629 states/eV per atom
E_tot: -4.50 eV per atom
DFT formation energy: 0.190 eV/atom
Density: 7.7 g cm⁻³

The structure in Quantum ESPRESSO input format:
```
&SYSTEM
  ibrav = 0, nat = 12, ntyp = 4
/
ATOMIC_SPECIES
Tb 158.93 Tb.upf
La 138.91 La.upf
Er 167.26 Er.upf
Pm 145.00 Pm.upf
ATOMIC_POSITIONS crystal
Tb 0.220 0.440 0.246
Tb 0.780 0.560 0.754
Tb 0.478 0.956 0.263
Tb 0.522 0.044 0.737
Tb 0.164 0.328 0.727
Tb 0.836 0.672 0.273
La 0.355 0.710 0.973
La 0.645 0.290 0.027
Er 0.649 0.298 0.460
Er 0.351 0.702 0.540
Pm 0.947 0.895 0.733
Pm 0.053 0.105 0.267
CELL_PARAMETERS angstrom
5.699 0.000 0.000
-2.849 9.806 1.602
0.000 -1.238 6.962
```

=====

(4)
La2Tb4PmEr: optimized geometry, GGA-PBE. Values from VASP.

Properties
Total moment: 0.00 μB/f.u.
DOS(E_F): 1.544 states/eV per atom
E_tot: -4.68 eV per atom
DFT formation energy: 0.029 eV/atom
Density: 7.6 g cm⁻³

The structure in Quantum ESPRESSO input format:
```
&SYSTEM
  ibrav = 0, nat = 8, ntyp = 4
/
ATOMIC_SPECIES
La 138.91 La.upf
Er 167.26 Er.upf
Tb 158.93 Tb.upf
Pm 145.00 Pm.upf
ATOMIC_POSITIONS crystal
La 0.000 0.000 0.000
La 0.500 0.000 0.500
Er 0.500 0.500 0.000
Tb 0.500 0.752 0.248
Tb 0.500 0.248 0.752
Tb 0.000 0.749 0.751
Tb 0.000 0.251 0.249
Pm 0.000 0.500 0.500
CELL_PARAMETERS angstrom
5.146 0.000 0.000
0.000 5.030 0.942
0.000 3.167 10.930
```

=====

(5)
LaTb2Pm6Er: optimized geometry, GGA-PBE. Values from VASP.

Properties
Total moment: 0.00 μB/f.u.
DOS(E_F): 1.513 states/eV per atom
E_tot: -4.61 eV per atom
DFT formation energy: 0.118 eV/atom
Density: 7.2 g cm⁻³

The structure in Quantum ESPRESSO input format:
```
&SYSTEM
  ibrav = 0, nat = 20, ntyp = 4
/
ATOMIC_SPECIES
Er 167.26 Er.upf
Pm 145.00 Pm.upf
Tb 158.93 Tb.upf
La 138.91 La.upf
ATOMIC_POSITIONS crystal
Er 0.750 0.027 0.973
Er 0.250 0.973 0.027
Pm 0.879 0.293 0.506
Pm 0.445 0.242 0.885
Pm 0.055 0.115 0.758
Pm 0.182 0.571 0.023
Pm 0.379 0.506 0.293
Pm 0.621 0.494 0.707
Pm 0.945 0.885 0.242
Pm 0.682 0.023 0.571
Pm 0.818 0.429 0.977
Pm 0.555 0.758 0.115
Pm 0.318 0.977 0.429
Pm 0.121 0.707 0.494
Tb 0.044 0.291 0.193
Tb 0.956 0.709 0.807
Tb 0.544 0.193 0.291
Tb 0.456 0.807 0.709
La 0.250 0.405 0.595
La 0.750 0.595 0.405
CELL_PARAMETERS angstrom
9.300 -2.125 -2.205
0.787 8.673 -2.043
0.787 -2.363 8.592
```

=====

(6)
La2Tb5PmEr: optimized geometry, GGA-PBE. Values from VASP.

Properties
Total moment: 0.00 μB/f.u.
DOS(E_F): 1.419 states/eV per atom
E_tot: -4.45 eV per atom
DFT formation energy: 0.256 eV/atom
Density: 7.7 g cm⁻³

The structure in Quantum ESPRESSO input format:
```
&SYSTEM
  ibrav = 0, nat = 18, ntyp = 4
/
ATOMIC_SPECIES
Tb 158.93 Tb.upf
La 138.91 La.upf
Pm 145.00 Pm.upf
Er 167.26 Er.upf
ATOMIC_POSITIONS crystal
Tb 0.358 0.858 0.283
Tb 0.425 0.358 0.283
Tb 0.000 0.000 0.000
Tb 0.858 0.925 0.283
Tb 0.500 0.500 0.000
Tb 0.925 0.425 0.283
Tb 0.142 0.075 0.717
Tb 0.075 0.575 0.717
Tb 0.575 0.642 0.717
Tb 0.642 0.142 0.717
La 0.382 0.882 0.000
La 0.882 0.618 0.000
La 0.118 0.382 0.000
La 0.618 0.118 0.000
Pm 0.750 0.750 0.500
Pm 0.250 0.250 0.500
Er 0.750 0.250 0.500
Er 0.250 0.750 0.500
CELL_PARAMETERS angstrom
-4.362 5.423 -5.185
-7.149 -1.184 4.776
7.848 4.011 4.856
```

=====

(7)
La6TbPm2Er: optimized geometry, GGA-PBE. Values from VASP.

Properties
Total moment: 0.00 μB/f.u.
DOS(E_F): 1.167 states/eV per atom
E_tot: -4.71 eV per atom
DFT formation energy: 0.113 eV/atom
Density: 6.8 g cm⁻³

The structure in Quantum ESPRESSO input format:
```
&SYSTEM
  ibrav = 0, nat = 20, ntyp = 4
/
ATOMIC_SPECIES
La 138.91 La.upf
Er 167.26 Er.upf
Tb 158.93 Tb.upf
Pm 145.00 Pm.upf
ATOMIC_POSITIONS crystal
La 0.916 0.919 0.230
La 0.084 0.081 0.770
La 0.102 0.712 0.438
La 0.318 0.021 0.458
La 0.398 0.562 0.288
La 0.416 0.230 0.919
La 0.602 0.438 0.712
La 0.584 0.770 0.081
La 0.898 0.288 0.562
La 0.682 0.979 0.542
La 0.182 0.542 0.979
La 0.818 0.458 0.021
Er 0.250 0.422 0.578
Er 0.750 0.578 0.422
Tb 0.750 0.059 0.941
Tb 0.250 0.941 0.059
Pm 0.562 0.205 0.292
Pm 0.938 0.708 0.795
Pm 0.438 0.795 0.708
Pm 0.062 0.292 0.205
CELL_PARAMETERS angstrom
9.012 -1.674 -1.738
1.049 8.859 -1.818
1.049 -2.145 8.786
```

=====

(8)
La5TbPmEr2: optimized geometry, GGA-PBE. Values from VASP.

Properties
Total moment: 0.00 μB/f.u.
DOS(E_F): 1.505 states/eV per atom
E_tot: -4.67 eV per atom
DFT formation energy: 0.127 eV/atom
Density: 6.9 g cm⁻³

The structure in Quantum ESPRESSO input format:
```
&SYSTEM
  ibrav = 0, nat = 18, ntyp = 4
/
ATOMIC_SPECIES
La 138.91 La.upf
Er 167.26 Er.upf
Tb 158.93 Tb.upf
Pm 145.00 Pm.upf
ATOMIC_POSITIONS crystal
La 0.500 0.000 0.758
La 0.500 0.000 0.258
La 0.000 0.999 0.008
La 0.721 0.441 0.819
La 0.720 0.440 0.198
La 0.000 0.001 0.508
La 0.377 0.754 0.008
La 0.623 0.246 0.508
La 0.279 0.559 0.319
La 0.280 0.560 0.698
Er 0.887 0.774 0.261
Er 0.113 0.225 0.256
Er 0.887 0.775 0.756
Er 0.113 0.226 0.761
Tb 0.600 0.200 0.008
Tb 0.400 0.800 0.508
Pm 0.214 0.429 0.009
Pm 0.786 0.571 0.509
CELL_PARAMETERS angstrom
-0.787 -3.648 4.040
9.014 -3.858 -5.470
6.342 5.729 6.410
```

=====

(9)
LaTb6Pm3Er2: optimized geometry, GGA-PBE. Values from VASP.

Properties
Total moment: 0.00 μB/f.u.
DOS(E_F): 1.311 states/eV per atom
E_tot: -4.66 eV per atom
DFT formation energy: 0.018 eV/atom
Density: 7.9 g cm⁻³

The structure in Quantum ESPRESSO input format:
```
&SYSTEM
  ibrav = 0, nat = 12, ntyp = 4
/
ATOMIC_SPECIES
Er 167.26 Er.upf
Pm 145.00 Pm.upf
Tb 158.93 Tb.upf
La 138.91 La.upf
ATOMIC_POSITIONS crystal
Er 0.667 0.333 0.000
Er 0.333 0.667 0.000
Pm 0.167 0.833 0.500
Pm 0.833 0.167 0.500
Pm 0.500 0.500 0.500
Tb 0.251 0.251 0.751
Tb 0.084 0.418 0.249
Tb 0.749 0.749 0.249
Tb 0.582 0.916 0.751
Tb 0.916 0.582 0.751
Tb 0.418 0.084 0.249
La 0.000 0.000 0.000
CELL_PARAMETERS angstrom
-5.277 2.454 -2.196
1.287 -6.003 -0.998
-4.145 -1.652 11.044
```

=====

(10)
LaTbPm4Er2: optimized geometry, GGA-PBE. Values from VASP.

Properties
Total moment: 0.00 μB/f.u.
DOS(E_F): 1.434 states/eV per atom
E_tot: -4.69 eV per atom
DFT formation energy: 0.019 eV/atom
Density: 7.5 g cm⁻³

The structure in Quantum ESPRESSO input format:
```
&SYSTEM
  ibrav = 0, nat = 8, ntyp = 4
/
ATOMIC_SPECIES
Pm 145.00 Pm.upf
La 138.91 La.upf
Er 167.26 Er.upf
Tb 158.93 Tb.upf
ATOMIC_POSITIONS crystal
Pm 0.500 0.751 0.245
Pm 0.000 0.751 0.751
Pm 0.000 0.249 0.249
Pm 0.500 0.249 0.755
La 0.000 0.500 0.500
Er 0.000 0.000 0.000
Er 0.500 0.000 0.500
Tb 0.500 0.500 0.000
CELL_PARAMETERS angstrom
-2.693 -1.445 -1.957
3.901 -4.379 -2.136
-1.537 -8.456 8.356
```

=====

(11)
La4TbPm2Er: optimized geometry, GGA-PBE. Values from VASP.

Properties
Total moment: 0.00 μB/f.u.
DOS(E_F): 1.453 states/eV per atom
E_tot: -4.78 eV per atom
DFT formation energy: 0.016 eV/atom
Density: 7.0 g cm⁻³

The structure in Quantum ESPRESSO input format:
```
&SYSTEM
  ibrav = 0, nat = 8, ntyp = 4
/
ATOMIC_SPECIES
La 138.91 La.upf
Er 167.26 Er.upf
Pm 145.00 Pm.upf
Tb 158.93 Tb.upf
ATOMIC_POSITIONS crystal
La 0.500 0.250 0.750
La 0.000 0.751 0.749
La 0.000 0.249 0.251
La 0.500 0.750 0.250
Er 0.000 0.500 0.500
Pm 0.000 0.000 0.000
Pm 0.500 0.000 0.500
Tb 0.500 0.500 0.000
CELL_PARAMETERS angstrom
5.256 0.000 0.000
0.000 5.065 1.256
0.000 2.625 11.127
```

=====

(12)
La2TbPm2Er: optimized geometry, GGA-PBE. Values from VASP.

Properties
Total moment: 0.00 μB/f.u.
DOS(E_F): 1.708 states/eV per atom
E_tot: -4.70 eV per atom
DFT formation energy: 0.060 eV/atom
Density: 7.3 g cm⁻³

The structure in Quantum ESPRESSO input format:
```
&SYSTEM
  ibrav = 0, nat = 12, ntyp = 4
/
ATOMIC_SPECIES
Pm 145.00 Pm.upf
La 138.91 La.upf
Tb 158.93 Tb.upf
Er 167.26 Er.upf
ATOMIC_POSITIONS crystal
Pm 0.000 0.258 0.168
Pm 0.500 0.258 0.339
Pm 0.000 0.758 0.832
Pm 0.500 0.758 0.661
La 0.500 0.508 0.000
La 0.500 0.008 0.000
La 0.000 0.758 0.173
La 0.000 0.258 0.827
Tb 0.500 0.257 0.663
Tb 0.500 0.757 0.337
Er 0.000 0.008 0.500
Er 0.000 0.508 0.500
CELL_PARAMETERS angstrom
-5.626 0.537 1.101
-1.514 -2.697 -6.419
-0.117 -9.179 3.884
```